[1]
PmTh2Bi3 PBE relaxed; distance to the lowest polymorph of the same formula = 74 meV/atom; formation enthalpy at 0 K = -0.62 eV/atom; symmetry = C2/m (12)
1.0
4.5866 0.0000 0.0000
-2.2933 8.4023 -2.3725
0.0000 -0.3140 11.1059
Th Pm Bi
4 2 6
direct
0.3339 0.6678 0.1685
0.8332 0.6664 0.6676
0.6661 0.3322 0.8315
0.1668 0.3336 0.3324
0.5000 0.0000 0.0000
0.0000 0.0000 0.5000
0.0277 0.0554 0.8057
0.3615 0.7231 0.4732
0.6941 0.3882 0.1379
0.9723 0.9446 0.1943
0.3059 0.6118 0.8621
0.6385 0.2769 0.5268


[2]
CaNdY4Er2 PBE relaxed; formation enthalpy at 0 K = 0.43 eV/atom; symmetry = C2/c (15)
1.0
-2.9354 2.9844 -8.6769
1.4832 -8.7214 -3.8142
-4.4833 2.7810 10.7684
Y Nd Ca Er
8 2 2 4
direct
0.7537 0.2430 0.4985
0.7430 0.2537 0.9985
0.7501 0.7573 0.4872
0.2570 0.7463 0.0015
0.2499 0.2427 0.5128
0.7427 0.7499 0.0128
0.2573 0.2501 0.9872
0.2463 0.7570 0.5015
0.0000 0.5000 0.0000
0.0000 0.5000 0.5000
0.0000 0.0000 0.0000
0.5000 0.5000 0.5000
0.5000 0.0000 0.0000
0.0000 0.0000 0.5000
0.5000 0.0000 0.5000
0.5000 0.5000 0.0000


[3]
ZnCdBr PBE relaxed; distance to the lowest polymorph of the same formula = 262 meV/atom; symmetry = F-43m (216); formation energy without anion corrections = 0.062 eV per atom
1.0
5.0097 0.0000 0.0000
2.5048 4.3385 0.0000
2.5048 1.4462 4.0904
Cd Br Zn
1 1 1
direct
0.2500 0.2500 0.2500
0.5000 0.5000 0.5000
0.0000 0.0000 0.0000